(1)
Computed, not measured: an optimized crystal structure of BaNaPb3 at the PBE level of DFT.

It has space group P2_1/c (No. 14), with a = 10.3258 Å, b = 6.8019 Å, c = 9.9594 Å, α = 90.00°, β = 98.24° and γ = 90.00°. Symmetry generates all atoms from Ba at (0.1228, 0.1252, 0.1999), Na at (0.4529, 0.6256, 0.6909), Pb at (0.1271, 0.6307, 0.0669), Pb at (0.2738, 0.5994, 0.3770) and Pb at (0.3708, 0.1421, 0.5104).

Its energy above the most stable polymorph in this dataset is 0.0 meV per atom. The formation energy from the elements is -290 meV/atom.

(2)
Computed, not measured: an optimized crystal structure of TaMo6 at the PBE level of DFT.

It has space group R-3 (No. 148, hexagonal axes), with a = 11.8729 Å, b = 11.8729 Å, c = 2.7678 Å, α = 90.00°, β = 90.00° and γ = 120.00°. Symmetry generates all atoms from Ta at (0.0000, 0.0000, 0.0000) and Mo at (0.0478, 0.2395, 0.6646).

Its energy above the most stable polymorph in this dataset is 6.3 meV per atom. The formation energy from the elements is -90 meV/atom.

(3)
Computed, not measured: an optimized crystal structure of La2ScTa at the PBE level of DFT.

It has space group P2/m (No. 10), with a = 3.1909 Å, b = 5.5498 Å, c = 5.9272 Å, α = 90.00°, β = 91.55° and γ = 90.00°. Symmetry generates all atoms from La at (0.2301, 0.0000, 0.2297), Sc at (0.0000, 0.5000, 0.5000) and Ta at (0.5000, 0.5000, 0.0000).

Its energy above the most stable polymorph in this dataset is 198.5 meV per atom. The formation energy from the elements is 466 meV/atom.

(4)
Computed, not measured: an optimized crystal structure of CdSn2As at the PBE level of DFT.

It has space group P4/mmm (No. 123), with a = 3.6629 Å, b = 3.6629 Å, c = 7.3607 Å, α = 90.00°, β = 90.00° and γ = 90.00°. Symmetry generates all atoms from Cd at (0.0000, 0.0000, 0.0000), Sn at (0.5000, 0.5000, 0.2735) and As at (0.0000, 0.0000, 0.5000).

Its energy above the most stable polymorph in this dataset is 84.5 meV per atom. The formation energy from the elements is 99 meV/atom.

(5)
Computed, not measured: an optimized crystal structure of CaPPtCl2 at the PBE level of DFT.

It has space group P4/mmm (No. 123), with a = 5.0488 Å, b = 5.0488 Å, c = 4.6456 Å, α = 90.00°, β = 90.00° and γ = 90.00°. Symmetry generates all atoms from Ca at (0.0000, 0.0000, 0.0000), P at (0.5000, 0.5000, 0.0000), Pt at (0.5000, 0.5000, 0.5000) and Cl at (0.0000, 0.5000, 0.5000).

Its energy above the most stable polymorph in this dataset is 0.0 meV per atom. The raw formation energy is -0.532 eV/atom.

(6)
Computed, not measured: an optimized crystal structure of NaPr2SmSe4 at the PBE level of DFT.

It has space group P2/m (No. 10), with a = 7.3383 Å, b = 4.2205 Å, c = 7.3430 Å, α = 90.00°, β = 109.19° and γ = 90.00°. Symmetry generates all atoms from Na at (0.0000, 0.0000, 0.0000), Pr at (0.5000, 0.0000, 0.5000), Pr at (0.5000, 0.5000, 0.0000), Sm at (0.0000, 0.5000, 0.5000), Se at (0.2419, 0.0000, 0.7480) and Se at (0.2455, 0.5000, 0.2507).

The raw formation energy is -1.764 eV/atom.